First-principles (GGA-PBE) data for a relaxed structure of VCoTe4, as listed in Alexandria.

## Properties
* uncorrected energy: -0.183 Ha/atom

Cell lengths 6.117, 3.726, 6.550 Å; angles 90.00, 90.68, 90.00 degrees
Space group P2/m (No. 10)
Symmetry-distinct sites (fractional):
V (0.000, 0.000, 0.000)
Co (0.000, 0.500, 0.500)
Te (0.236, 0.000, 0.349)
Te (0.258, 0.500, 0.823)

First-principles (GGA-PBE) data for a relaxed structure of VCo3Te, as listed in Alexandria.

## Properties
* energy above the lowest structure with this stoichiometry: 0.000 eV/atom
* uncorrected energy: -0.211 Ha/atom

Cell lengths 4.294, 4.294, 4.294 Å; angles 90.00, 90.00, 90.00 degrees
Space group Pm-3m (No. 221)
Symmetry-distinct sites (fractional):
V (0.000, 0.000, 0.000)
Co (0.000, 0.000, 0.500)
Te (0.500, 0.500, 0.500)

First-principles (GGA-PBE) data for a relaxed structure of V2CoTe, as listed in Alexandria.

## Properties
* uncorrected energy: -0.236 Ha/atom

Cell lengths 5.545, 5.545, 11.550 Å; angles 90.00, 90.00, 90.00 degrees
Space group I-42d (No. 122)
Symmetry-distinct sites (fractional):
V (0.178, 0.250, 0.125)
Co (0.000, 0.000, 0.000)
Te (0.000, 0.000, 0.500)

First-principles (GGA-PBE) data for a relaxed structure of VCo3Te, as listed in Alexandria.

## Properties
* energy above the lowest structure with this stoichiometry: 0.346 eV/atom
* uncorrected energy: -0.198 Ha/atom

Cell lengths 4.560, 4.560, 4.560 Å; angles 90.00, 90.00, 90.00 degrees
Space group Pm-3m (No. 221)
Symmetry-distinct sites (fractional):
V (0.000, 0.000, 0.000)
Co (0.000, 0.500, 0.500)
Te (0.500, 0.500, 0.500)

First-principles (GGA-PBE) data for a relaxed structure of CoTe2W, as listed in Alexandria.

## Properties
* energy above the lowest structure with this stoichiometry: 1.093 eV/atom
* uncorrected energy: -0.199 Ha/atom

Cell lengths 6.744, 6.744, 6.744 Å; angles 90.00, 90.00, 90.00 degrees
Space group F-43m (No. 216)
Symmetry-distinct sites (fractional):
Co (0.000, 0.000, 0.000)
Te (0.000, 0.000, 0.500)
Te (0.250, 0.250, 0.250)
W (0.250, 0.250, 0.750)

First-principles (GGA-PBE) data for a relaxed structure of CoTe2W, as listed in Alexandria.

## Properties
* energy above the lowest structure with this stoichiometry: 0.848 eV/atom
* uncorrected energy: -0.208 Ha/atom

Cell lengths 3.964, 3.964, 9.590 Å; angles 90.00, 90.00, 90.00 degrees
Space group I-4m2 (No. 119)
Symmetry-distinct sites (fractional):
Co (0.000, 0.000, 0.000)
Te (0.000, 0.000, 0.500)
Te (0.000, 0.500, 0.750)
W (0.000, 0.500, 0.250)

First-principles (GGA-PBE) data for a relaxed structure of CoTe2W, as listed in Alexandria.

## Properties
* energy above the lowest structure with this stoichiometry: 0.858 eV/atom
* uncorrected energy: -0.207 Ha/atom

Cell lengths 3.500, 5.393, 8.246 Å; angles 90.00, 90.00, 90.00 degrees
Space group Cmmm (No. 65)
Symmetry-distinct sites (fractional):
Co (0.000, 0.000, 0.000)
Te (0.000, 0.500, 0.236)
W (0.000, 0.000, 0.500)

First-principles (GGA-PBE) data for a relaxed structure of CoTe2W, as listed in Alexandria.

## Properties
* energy above the lowest structure with this stoichiometry: 0.220 eV/atom
* uncorrected energy: -0.231 Ha/atom

Cell lengths 3.386, 3.386, 7.554 Å; angles 90.00, 90.00, 90.00 degrees
Space group P4mm (No. 99)
Symmetry-distinct sites (fractional):
Co (0.000, 0.000, 0.000)
Te (0.000, 0.000, 0.632)
Te (0.500, 0.500, 0.176)
W (0.500, 0.500, 0.826)

First-principles (GGA-PBE) data for a relaxed structure of CoTe2W, as listed in Alexandria.

## Properties
* energy above the lowest structure with this stoichiometry: 0.554 eV/atom
* uncorrected energy: -0.219 Ha/atom

Cell lengths 6.648, 6.648, 6.648 Å; angles 90.00, 90.00, 90.00 degrees
Space group Fm-3m (No. 225)
Symmetry-distinct sites (fractional):
Co (0.000, 0.000, 0.000)
Te (0.250, 0.250, 0.250)
W (0.000, 0.000, 0.500)

First-principles (GGA-PBE) data for a relaxed structure of CoTe2W, as listed in Alexandria.

## Properties
* energy above the lowest structure with this stoichiometry: 0.555 eV/atom
* uncorrected energy: -0.219 Ha/atom

Cell lengths 8.347, 3.344, 5.578 Å; angles 90.00, 98.97, 90.00 degrees
Space group C2/m (No. 12)
Symmetry-distinct sites (fractional):
Co (0.000, 0.000, 0.000)
Te (0.230, 0.000, 0.746)
W (0.000, 0.500, 0.500)

First-principles (GGA-PBE) data for a relaxed structure of CoTe2W, as listed in Alexandria.

## Properties
* energy above the lowest structure with this stoichiometry: 0.471 eV/atom
* uncorrected energy: -0.222 Ha/atom

Cell lengths 3.338, 3.338, 6.570 Å; angles 90.00, 90.00, 90.00 degrees
Space group P4/mmm (No. 123)
Symmetry-distinct sites (fractional):
Co (0.000, 0.000, 0.000)
Te (0.500, 0.500, 0.249)
W (0.000, 0.000, 0.500)

First-principles (GGA-PBE) data for a relaxed structure of CoTe2W, as listed in Alexandria.

## Properties
* energy above the lowest structure with this stoichiometry: 0.698 eV/atom
* uncorrected energy: -0.213 Ha/atom

Cell lengths 3.3380, 3.3380, 25.5726 Å; angles 90.00, 90.00, 120.00 degrees
Space group R-3m (No. 166, hexagonal axes)
Symmetry-distinct sites (fractional):
Co (0.0000, 0.0000, 0.0000)
Te (0.0000, 0.0000, 0.3965)
W (0.0000, 0.0000, 0.5000)

For reference, energy relative to the elements, uncorrected by record: -0.19, 0.97, 0.70, 1.32, 1.18, 0.93, 0.94, 0.30, 0.64, 0.64, 0.56, 0.78 eV/atom.